# 1
Below is a relaxed structure of Zr2TaSe, with properties calculated at the PBEsol level.

formation energy without anion corrections	0.08	eV per atom
uncorrected energy	-34.242	eV per cell

Cell lengths 4.732, 4.732, 4.732 Å; angles 60.00, 60.00, 60.00 degrees
Positions (direct):
1 Zr 0.000 0.000 0.000
2 Zr 0.250 0.250 0.250
3 Ta 0.500 0.500 0.500
4 Se 0.750 0.750 0.750



# 2
Below is a relaxed structure of ZrTa2Se, with properties calculated at the PBEsol level.

formation energy without anion corrections	0.02	eV per atom
uncorrected energy	-37.957	eV per cell

Cell lengths 3.039, 3.039, 8.029 Å; angles 90.00, 90.00, 90.00 degrees
Positions (direct):
1 Zr 0.000 0.000 0.000
2 Ta 0.500 0.500 0.292
3 Ta 0.500 0.500 0.708
4 Se 0.000 0.000 0.500



# 3
Below is a relaxed structure of ZrTa2Se, with properties calculated at the PBEsol level.

formation energy without anion corrections	-0.24	eV per atom
uncorrected energy	-38.988	eV per cell

Cell lengths 4.439, 5.273, 5.273 Å; angles 36.23, 90.00, 90.00 degrees
Positions (direct):
1 Zr 0.000 0.000 0.000
2 Ta 0.000 0.738 0.738
3 Ta 0.500 0.284 0.284
4 Se 0.500 0.561 0.561



# 4
Below is a relaxed structure of Zr2TaSe, with properties calculated at the PBEsol level.

formation energy without anion corrections	-0.45	eV per atom
uncorrected energy	-36.369	eV per cell

Cell lengths 4.550, 5.299, 5.299 Å; angles 37.37, 90.00, 90.00 degrees
Positions (direct):
1 Zr 0.000 0.000 0.000
2 Zr 0.500 0.287 0.287
3 Ta 0.500 0.552 0.552
4 Se 0.000 0.724 0.724



# 5
Below is a relaxed structure of Zr2TaSe, with properties calculated at the PBEsol level.

formation energy without anion corrections	-0.22	eV per atom
uncorrected energy	-35.463	eV per cell

Cell lengths 5.005, 5.005, 4.909 Å; angles 104.98, 104.98, 40.17 degrees
Positions (direct):
1 Zr 0.237 0.237 0.231
2 Zr 0.763 0.763 0.769
3 Ta 0.000 0.000 0.500
4 Se 0.500 0.500 0.000



# 6
Below is a relaxed structure of Zr2TaSe, with properties calculated at the PBEsol level.

formation energy without anion corrections	-0.43	eV per atom
uncorrected energy	-36.298	eV per cell

Cell lengths 3.138, 3.138, 8.256 Å; angles 90.00, 90.00, 106.39 degrees
Positions (direct):
1 Zr 0.000 0.000 0.235
2 Zr 0.000 0.000 0.765
3 Ta 0.500 0.500 0.500
4 Se 0.500 0.500 0.000



# 7
Below is a relaxed structure of ZrTaSe3, with properties calculated at the PBEsol level.

formation energy without anion corrections	0.01	eV per atom
uncorrected energy	-33.126	eV per cell

Cell lengths 4.918, 4.918, 4.918 Å; angles 90.00, 90.00, 90.00 degrees
Positions (direct):
1 Zr 0.000 0.000 0.000
2 Ta 0.500 0.500 0.500
3 Se 0.000 0.500 0.500
4 Se 0.500 0.000 0.500
5 Se 0.500 0.500 0.000



# 8
Below is a relaxed structure of TbSe2, with properties calculated at the PBEsol level.

formation energy without anion corrections	-1.64	eV per atom
uncorrected energy	-35.266	eV per cell

Cell lengths 4.020, 4.020, 8.229 Å; angles 90.00, 90.00, 90.00 degrees
Positions (direct):
1 Tb 0.250 0.250 0.227
2 Tb 0.750 0.750 0.773
3 Se 0.250 0.250 0.869
4 Se 0.250 0.750 0.500
5 Se 0.750 0.250 0.500
6 Se 0.750 0.750 0.131